Entry 1:
Density functional theory data (PBE-GGA) for crystalline RbB3O at its relaxed geometry.

ΔE to the lowest computed polymorph: 0.00 eV/f.u.
formation energy without anion corrections: 11.46 eV per formula unit
space-group type: Pm-3m, No. 221

Lattice parameters (Å, degrees): 4.3503 4.3503 4.3503 90.00 90.00 90.00
Last column: nearest neighbours and their distance in Å.
Fractional positions:
B (0.5000, 0.0000, 0.0000)  2 O 2.18
B (0.0000, 0.5000, 0.0000)  2 O 2.18
B (0.0000, 0.0000, 0.5000)  2 O 2.18
O (0.0000, 0.0000, 0.0000)  6 B 2.18
Rb (0.5000, 0.5000, 0.5000)  12 B 3.08



Entry 2:
Density functional theory data (PBE-GGA) for crystalline Rb3BO3 at its relaxed geometry.

ΔE to the lowest computed polymorph: 1.08 eV/f.u.
formation energy without anion corrections: -11.82 eV per formula unit
space-group type: R3m, No. 160

Lattice parameters (Å, degrees): 10.6987 5.4854 5.4854 82.30 130.55 130.55
Last column: nearest neighbours and their distance in Å.
Fractional positions:
B (0.3767, 0.0000, 0.0000)  3 O 1.41
O (0.4827, 0.3377, 0.0000)  1 B 1.41
O (0.4827, 0.0000, 0.3377)  1 B 1.41
O (0.1451, 0.6623, 0.6623)  1 B 1.41
Rb (0.9946, 0.4960, 0.0000)  4 O 2.83-2.89, 1 B 3.11
Rb (0.4986, 0.5040, 0.5040)  4 O 2.83-2.89, 1 B 3.11
Rb (0.9946, 0.0000, 0.4960)  4 O 2.83-2.89, 1 B 3.11



Entry 3:
Density functional theory data (PBE-GGA) for crystalline RbBO3 at its relaxed geometry.

formation energy without anion corrections: 10.29 eV per formula unit
space-group type: Pm-3m, No. 221

Lattice parameters (Å, degrees): 4.3727 4.3727 4.3727 90.00 90.00 90.00
Last column: nearest neighbours and their distance in Å.
Fractional positions:
O (0.0000, 0.5000, 0.0000)  2 Rb 2.19
O (0.5000, 0.0000, 0.0000)  2 Rb 2.19
O (0.0000, 0.0000, 0.5000)  2 Rb 2.19
Rb (0.0000, 0.0000, 0.0000)  6 O 2.19
B (0.5000, 0.5000, 0.5000)  12 O 3.09



Entry 4:
Density functional theory data (PBE-GGA) for crystalline RbBO3 at its relaxed geometry.

formation energy without anion corrections: -6.92 eV per formula unit
space-group type: C2/m, No. 12

Lattice parameters (Å, degrees): 6.4462 5.6850 5.8216 119.23 90.84 90.00
Last column: nearest neighbours and their distance in Å.
Fractional positions:
O (0.0781, 0.2776, 0.1199)  1 B 1.46, 1 O 1.57
O (0.5557, 0.1205, 0.2409)  1 B 1.27
O (0.9219, 0.7224, 0.8801)  1 B 1.46, 1 O 1.57
O (0.0781, 0.8423, 0.1199)  1 B 1.46, 1 O 1.57
O (0.4443, 0.8795, 0.7591)  1 B 1.27
O (0.9219, 0.1577, 0.8801)  1 B 1.46, 1 O 1.57
Rb (0.7354, 0.6694, 0.3389)  7 O 2.87-3.11
Rb (0.2646, 0.3306, 0.6611)  7 O 2.87-3.11
B (0.5000, 0.0000, 0.0000)  2 O 1.27
B (0.0000, 0.0000, 0.0000)  4 O 1.46



Entry 5:
Density functional theory data (PBE-GGA) for crystalline RbB3O at its relaxed geometry.

ΔE to the lowest computed polymorph: 7.47 eV/f.u.
formation energy without anion corrections: 18.93 eV per formula unit
space-group type: Pm-3m, No. 221

Lattice parameters (Å, degrees): 5.2469 5.2469 5.2469 90.00 90.00 90.00
Last column: nearest neighbours and their distance in Å.
Fractional positions:
B (0.5000, 0.0000, 0.0000)  2 Rb 2.62
B (0.0000, 0.0000, 0.5000)  2 Rb 2.62
B (0.0000, 0.5000, 0.0000)  2 Rb 2.62
O (0.5000, 0.5000, 0.5000)  12 B 3.71
Rb (0.0000, 0.0000, 0.0000)  6 B 2.62



Entry 6:
Density functional theory data (PBE-GGA) for crystalline RbB5O8 at its relaxed geometry.

formation energy without anion corrections: -34.12 eV per formula unit
space-group type: Pbca, No. 61

Lattice parameters (Å, degrees): 8.0525 12.1621 14.8881 90.00 90.00 90.00
Last column: nearest neighbours and their distance in Å.
Fractional positions:
O (0.5828, 0.4379, 0.3022)  2 B 1.37-1.39
O (0.6820, 0.3159, 0.5680)  2 B 1.36-1.48
O (0.3068, 0.0420, 0.5226)  2 B 1.39
O (0.0314, 0.9548, 0.1545)  2 B 1.40
O (0.0426, 0.8694, 0.6708)  2 B 1.35-1.49
O (0.6171, 0.2082, 0.7007)  2 B 1.36-1.48
O (0.8180, 0.6841, 0.0680)  2 B 1.36-1.48
O (0.0828, 0.4379, 0.1978)  2 B 1.37-1.39
O (0.0702, 0.7126, 0.5716)  2 B 1.35-1.49
O (0.9686, 0.0452, 0.8455)  2 B 1.40
O (0.5314, 0.5452, 0.8455)  2 B 1.40
O (0.5702, 0.7126, 0.9284)  2 B 1.35-1.49
O (0.4574, 0.1306, 0.1708)  2 B 1.35-1.49
O (0.8180, 0.8159, 0.5680)  2 B 1.36-1.48
O (0.0702, 0.7874, 0.0716)  2 B 1.35-1.49
O (0.4686, 0.0452, 0.6545)  2 B 1.40
O (0.8068, 0.4580, 0.4774)  2 B 1.39
O (0.9172, 0.9379, 0.3022)  2 B 1.37-1.39
O (0.3860, 0.4938, 0.4101)  2 B 1.39
O (0.9574, 0.3694, 0.8292)  2 B 1.35-1.49
O (0.1171, 0.2918, 0.2993)  2 B 1.36-1.48
O (0.1820, 0.3159, 0.9320)  2 B 1.36-1.48
O (0.9574, 0.1306, 0.3292)  2 B 1.35-1.49
O (0.0828, 0.0621, 0.6978)  2 B 1.37-1.39
O (0.6171, 0.2918, 0.2007)  2 B 1.36-1.48
O (0.3829, 0.7918, 0.2993)  2 B 1.36-1.48
O (0.0426, 0.6306, 0.1708)  2 B 1.35-1.49
O (0.3068, 0.4580, 0.0226)  2 B 1.39
O (0.4298, 0.2874, 0.0716)  2 B 1.35-1.49
O (0.1820, 0.1841, 0.4320)  2 B 1.36-1.48
O (0.5702, 0.7874, 0.4284)  2 B 1.35-1.49
O (0.9172, 0.5621, 0.8022)  2 B 1.37-1.39
O (0.5426, 0.8694, 0.8292)  2 B 1.35-1.49
O (0.3180, 0.6841, 0.4320)  2 B 1.36-1.48
O (0.8829, 0.7082, 0.7007)  2 B 1.36-1.48
O (0.4574, 0.3694, 0.6708)  2 B 1.35-1.49
O (0.5828, 0.0621, 0.8022)  2 B 1.37-1.39
O (0.1932, 0.9580, 0.0226)  2 B 1.39
O (0.4172, 0.5621, 0.6978)  2 B 1.37-1.39
O (0.1932, 0.5420, 0.5226)  2 B 1.39
O (0.4298, 0.2126, 0.5716)  2 B 1.35-1.49
O (0.6140, 0.5062, 0.5899)  2 B 1.39
O (0.8829, 0.7918, 0.2007)  2 B 1.36-1.48
O (0.5426, 0.6306, 0.3292)  2 B 1.35-1.49
O (0.4686, 0.4548, 0.1545)  2 B 1.40
O (0.6932, 0.5420, 0.9774)  2 B 1.39
O (0.9686, 0.4548, 0.3455)  2 B 1.40
O (0.1140, 0.9938, 0.4101)  2 B 1.39
O (0.0314, 0.5452, 0.6545)  2 B 1.40
O (0.1140, 0.5062, 0.9101)  2 B 1.39
O (0.5314, 0.9548, 0.3455)  2 B 1.40
O (0.9298, 0.2126, 0.9284)  2 B 1.35-1.49
O (0.3180, 0.8159, 0.9320)  2 B 1.36-1.48
O (0.4172, 0.9379, 0.1978)  2 B 1.37-1.39
O (0.6932, 0.9580, 0.4774)  2 B 1.39
O (0.8860, 0.4938, 0.0899)  2 B 1.39
O (0.6140, 0.9938, 0.0899)  2 B 1.39
O (0.1171, 0.2082, 0.7993)  2 B 1.36-1.48
O (0.9298, 0.2874, 0.4284)  2 B 1.35-1.49
O (0.3829, 0.7082, 0.7993)  2 B 1.36-1.48
O (0.8860, 0.0062, 0.5899)  2 B 1.39
O (0.3860, 0.0062, 0.9101)  2 B 1.39
O (0.6820, 0.1841, 0.0680)  2 B 1.36-1.48
O (0.8068, 0.0420, 0.9774)  2 B 1.39
B (0.7002, 0.0767, 0.0455)  3 O 1.36-1.39
B (0.2998, 0.5767, 0.4545)  3 O 1.36-1.39
B (0.9410, 0.8945, 0.2180)  3 O 1.36-1.40
B (0.7998, 0.9233, 0.5455)  3 O 1.36-1.39
B (0.0035, 0.5243, 0.1540)  3 O 1.35-1.39
B (0.2002, 0.4233, 0.9545)  3 O 1.36-1.39
B (0.9965, 0.4757, 0.8460)  3 O 1.35-1.39
B (0.5035, 0.9757, 0.8460)  3 O 1.35-1.39
B (0.4965, 0.4757, 0.6540)  3 O 1.35-1.39
B (0.5590, 0.1055, 0.7180)  3 O 1.36-1.40
B (0.5035, 0.5243, 0.3460)  3 O 1.35-1.39
B (0.0590, 0.3945, 0.2820)  3 O 1.36-1.40
B (0.5590, 0.3945, 0.2180)  3 O 1.36-1.40
B (0.4517, 0.7765, 0.8723)  4 O 1.48-1.49
B (0.2998, 0.9233, 0.9545)  3 O 1.36-1.39
B (0.0590, 0.1055, 0.7820)  3 O 1.36-1.40
B (0.7002, 0.4233, 0.5455)  3 O 1.36-1.39
B (0.0979, 0.6035, 0.5821)  3 O 1.35-1.40
B (0.4517, 0.7235, 0.3723)  4 O 1.48-1.49
B (0.5979, 0.8965, 0.4179)  3 O 1.35-1.40
B (0.4410, 0.8945, 0.2820)  3 O 1.36-1.40
B (0.0483, 0.2235, 0.3723)  4 O 1.48-1.49
B (0.9517, 0.7765, 0.6277)  4 O 1.48-1.49
B (0.0979, 0.8965, 0.0821)  3 O 1.35-1.40
B (0.5483, 0.2235, 0.1277)  4 O 1.48-1.49
B (0.4965, 0.0243, 0.1540)  3 O 1.35-1.39
B (0.9965, 0.0243, 0.3460)  3 O 1.35-1.39
B (0.9410, 0.6055, 0.7180)  3 O 1.36-1.40
B (0.0483, 0.2765, 0.8723)  4 O 1.48-1.49
B (0.7998, 0.5767, 0.0455)  3 O 1.36-1.39
B (0.5979, 0.6035, 0.9179)  3 O 1.35-1.40
B (0.4410, 0.6055, 0.7820)  3 O 1.36-1.40
B (0.0035, 0.9757, 0.6540)  3 O 1.35-1.39
B (0.2002, 0.0767, 0.4545)  3 O 1.36-1.39
B (0.4021, 0.1035, 0.5821)  3 O 1.35-1.40
B (0.9021, 0.3965, 0.4179)  3 O 1.35-1.40
B (0.9021, 0.1035, 0.9179)  3 O 1.35-1.40
B (0.5483, 0.2765, 0.6277)  4 O 1.48-1.49
B (0.9517, 0.7235, 0.1277)  4 O 1.48-1.49
B (0.4021, 0.3965, 0.0821)  3 O 1.35-1.40
Rb (0.4118, 0.8050, 0.6174)  7 O 2.96-3.22
Rb (0.4118, 0.6950, 0.1174)  7 O 2.96-3.22
Rb (0.0882, 0.1950, 0.1174)  7 O 2.96-3.22
Rb (0.9118, 0.8050, 0.8826)  7 O 2.96-3.22
Rb (0.9118, 0.6950, 0.3826)  7 O 2.96-3.22
Rb (0.0882, 0.3050, 0.6174)  7 O 2.96-3.22
Rb (0.5882, 0.1950, 0.3826)  7 O 2.96-3.22
Rb (0.5882, 0.3050, 0.8826)  7 O 2.96-3.22



- Look up the formation energy without anion corrections of the third one.
  10.29 eV per formula unit



- Among the records above, which one has the highest formation energy without anion corrections?
  number 5



What did the second record say?
Density functional theory data (PBE-GGA) for crystalline Rb3BO3 at its relaxed geometry.

ΔE to the lowest computed polymorph: 1.08 eV/f.u.
formation energy without anion corrections: -11.82 eV per formula unit
space-group type: R3m, No. 160

Lattice parameters (Å, degrees): 10.6987 5.4854 5.4854 82.30 130.55 130.55
Last column: nearest neighbours and their distance in Å.
Fractional positions:
B (0.3767, 0.0000, 0.0000)  3 O 1.41
O (0.4827, 0.3377, 0.0000)  1 B 1.41
O (0.4827, 0.0000, 0.3377)  1 B 1.41
O (0.1451, 0.6623, 0.6623)  1 B 1.41
Rb (0.9946, 0.4960, 0.0000)  4 O 2.83-2.89, 1 B 3.11
Rb (0.4986, 0.5040, 0.5040)  4 O 2.83-2.89, 1 B 3.11
Rb (0.9946, 0.0000, 0.4960)  4 O 2.83-2.89, 1 B 3.11